The following is a DFT calculation (PBE) of an optimized crystal structure of ReRuCl2.

Summary:
The electronic total energy comes out at -0.3967 Ry/atom. For the density of states at the Fermi level, the calculation gives 3.392 states/eV per cell. For the energy relative to the elements, uncorrected, the calculation gives 0.96 eV/atom. The calculation puts the energy above the most stable polymorph in this dataset at 23.56 kcal/mol of atoms.

Structure (extended XYZ):
```
4
Lattice="2.835 0.000 0.000 0.000 4.245 0.000 0.000 0.000 5.252" Properties=species:S:1:pos:R:3 pbc="T T T"
Re 0.000 0.000 0.000
Ru 1.417 0.000 2.626
Cl 0.000 2.123 2.626
Cl 1.417 2.123 0.000
```